Version i
VAsIr3 after structural relaxation, computed with PBE.

Unit cell a=4.5423 b=4.5423 c=4.5423 alpha=90.00 beta=90.00 gamma=90.00
Closest atoms and distances in Å follow each position.
Sites, in units of the cell vectors:
As 0.0000 0.0000 0.0000  6 Ir 2.27
Ir 0.5000 0.0000 0.0000  2 As 2.27
Ir 0.0000 0.0000 0.5000  2 As 2.27
Ir 0.0000 0.5000 0.0000  2 As 2.27
V 0.5000 0.5000 0.5000  12 Ir 3.21

Mass density   12.4 g/cm3
Total magnetic moment   2.85 μB/cell
Crystal system   cubic
Space group   Pm-3m (221)

***

Version ii
VAsIr3 after structural relaxation, computed with PBE.

Unit cell a=4.5471 b=4.5471 c=4.5471 alpha=90.00 beta=90.00 gamma=90.00
Closest atoms and distances in Å follow each position.
Sites, in units of the cell vectors:
Ir 0.0000 0.5000 0.0000  2 V 2.27
Ir 0.0000 0.0000 0.5000  2 V 2.27
Ir 0.5000 0.0000 0.0000  2 V 2.27
V 0.0000 0.0000 0.0000  6 Ir 2.27
As 0.5000 0.5000 0.5000  12 Ir 3.22

Mass density   12.4 g/cm3
Total magnetic moment   0.00 μB/cell
Crystal system   cubic
Space group   Pm-3m (221)

***

The structure with the least stability is version ii.